Entry from Alexandria: crystalline SrCeBiPb at its relaxed geometry (PBE-GGA).

Values from the calculation:
- Density of states at the Fermi level: 8.59 states/eV/f.u.
- Spin magnetization: 0.2812 μB/atom
- Energy of formation from the pure elements: -479 meV per atom
- Raw total energy: -0.3146 Ry per atom

```
SrCeBiPb
1.0
5.720 0.000 0.000
2.860 4.953 0.000
2.860 1.651 4.670
Pb Sr Bi Ce
1 1 1 1
direct
0.500 0.500 0.500 Pb
0.250 0.250 0.250 Sr
0.000 0.000 0.000 Bi
0.750 0.750 0.750 Ce
```